An optimized crystal structure of Ac4Ga2Rh, computed with PBE.

Unit cell a=9.081 b=9.081 c=6.660 alpha=110.72 beta=110.72 gamma=27.24
Sites, in units of the cell vectors:
Ac1 0.093 0.093 0.236
Ac2 0.370 0.370 0.242
Ac3 0.630 0.630 0.758
Ac4 0.907 0.907 0.764
Ga1 0.261 0.261 0.644
Ga2 0.739 0.739 0.356
Rh1 0.000 0.000 0.500

## Properties
**Electronic total energy**: -32.68 eV for the cell shown
**Energy relative to the elements**: -0.406 eV/atom